Entry 1:
ZnCuAs: relaxed, PBE-GGA.

DOS at the Fermi energy, states/eV/f.u.: 0.20

Cell: 4.269 4.287 5.615 Å, 90.00 90.00 90.00°
Space group Pmn2_1 (No. 31)
Symmetry-distinct sites (fractional):
Zn (0.000, 0.186, 0.000) x2
Cu (0.000, 0.186, 0.481) x2
As (0.000, 0.689, 0.742) x2

Entry 2:
ZnCuAs: relaxed, PBE-GGA.

DOS at the Fermi energy, states/eV/f.u.: 1.02

Cell: 3.002 3.795 8.175 Å, 90.00 90.00 90.00°
Space group Imm2 (No. 44)
Symmetry-distinct sites (fractional):
Zn (0.000, 0.000, 0.000) x2
Cu (0.000, 0.000, 0.337) x2
As (0.000, 0.000, 0.675) x2

Entry 3:
ZnCu2As: relaxed, PBE-GGA.

Distance to the lowest polymorph of the same formula, meV per atom: 79
DOS at the Fermi energy, states/eV/f.u.: 1.23

Cell: 3.875 3.875 16.570 Å, 90.00 90.00 90.00°
Space group I-42d (No. 122)
Symmetry-distinct sites (fractional):
Zn (0.000, 0.000, 0.000) x4
Cu (0.238, 0.250, 0.625) x8
As (0.000, 0.000, 0.500) x4

Entry 4:
ZnCuAs2: relaxed, PBE-GGA.

DOS at the Fermi energy, states/eV/f.u.: 2.05

Cell: 3.203 3.203 7.211 Å, 90.00 90.00 90.00°
Space group P4mm (No. 99)
Symmetry-distinct sites (fractional):
Zn (0.000, 0.000, 0.000) x1
Cu (0.500, 0.500, 0.808) x1
As (0.000, 0.000, 0.632) x1
As (0.500, 0.500, 0.195) x1

Entry 5:
Zn3CuAs: relaxed, PBE-GGA.

Distance to the lowest polymorph of the same formula, meV per atom: 225
DOS at the Fermi energy, states/eV/f.u.: 2.50

Cell: 4.869 4.869 4.869 Å, 90.00 90.00 90.00°
Space group Pm-3m (No. 221)
Symmetry-distinct sites (fractional):
Zn (0.000, 0.000, 0.500) x3
Cu (0.500, 0.500, 0.500) x1
As (0.000, 0.000, 0.000) x1

Entry 6:
ZnCuAs2: relaxed, PBE-GGA.

DOS at the Fermi energy, states/eV/f.u.: 1.16

Cell: 4.188 4.188 7.629 Å, 90.00 90.00 90.00°
Space group I4/mmm (No. 139)
Symmetry-distinct sites (fractional):
Zn (0.000, 0.000, 0.000) x2
Cu (0.000, 0.000, 0.500) x2
As (0.000, 0.500, 0.250) x4

Entry 7:
Zn2CuAs2: relaxed, PBE-GGA.

DOS at the Fermi energy, states/eV/f.u.: 2.40

Cell: 6.882 6.882 3.778 Å, 90.00 90.00 90.00°
Space group P4/mbm (No. 127)
Symmetry-distinct sites (fractional):
Zn (0.132, 0.368, 0.000) x4
Cu (0.000, 0.000, 0.500) x2
As (0.184, 0.684, 0.500) x4

Entry 8:
ZnCu4As: relaxed, PBE-GGA.

DOS at the Fermi energy, states/eV/f.u.: 3.26

Cell: 6.931 6.931 6.931 Å, 90.00 90.00 90.00°
Space group F-43m (No. 216)
Symmetry-distinct sites (fractional):
Zn (0.000, 0.000, 0.000) x4
Cu (0.126, 0.126, 0.626) x16
As (0.250, 0.250, 0.250) x4

Entry 9:
ZnCu2As: relaxed, PBE-GGA.

Distance to the lowest polymorph of the same formula, meV per atom: 134
DOS at the Fermi energy, states/eV/f.u.: 2.08

Cell: 6.168 6.168 6.168 Å, 90.00 90.00 90.00°
Space group F-43m (No. 216)
Symmetry-distinct sites (fractional):
Zn (0.000, 0.000, 0.000) x4
Cu (0.000, 0.000, 0.500) x4
Cu (0.250, 0.250, 0.250) x4
As (0.250, 0.250, 0.750) x4

Entry 10:
ZrCu2As: relaxed, PBE-GGA.

DOS at the Fermi energy, states/eV/f.u.: 2.79

Cell: 4.497 4.497 6.340 Å, 90.00 90.00 90.00°
Space group I-4m2 (No. 119)
Symmetry-distinct sites (fractional):
Zr (0.000, 0.000, 0.000) x2
Cu (0.000, 0.000, 0.500) x2
Cu (0.000, 0.500, 0.250) x2
As (0.000, 0.500, 0.750) x2

Entry 11:
ZrCu2As: relaxed, PBE-GGA.

DOS at the Fermi energy, states/eV/f.u.: 1.68

Cell: 2.942 3.813 5.919 Å, 90.00 103.96 90.00°
Space group Pm (No. 6)
Symmetry-distinct sites (fractional):
Zr (0.000, 0.000, 0.000) x1
Cu (0.350, 0.500, 0.696) x1
Cu (0.759, 0.000, 0.519) x1
As (0.615, 0.500, 0.245) x1

Entry 12:
Zr2CuAs4: relaxed, PBE-GGA.

DOS at the Fermi energy, states/eV/f.u.: 3.06

Cell: 3.788 3.788 9.220 Å, 90.00 90.00 90.00°
Space group P-4m2 (No. 115)
Symmetry-distinct sites (fractional):
Zr (0.000, 0.500, 0.233) x2
Cu (0.000, 0.000, 0.500) x1
As (0.000, 0.000, 0.000) x1
As (0.000, 0.500, 0.662) x2
As (0.500, 0.500, 0.000) x1

| no. | calculated total energy (eV/atom) | energy relative to the elements (eV/atom) |
| --- | --- | --- |
| 1 | -3.349 | -0.0091 |
| 2 | -3.194 | 0.1462 |
| 3 | -3.403 | 0.1262 |
| 4 | -3.491 | 0.1758 |
| 5 | -1.865 | 0.6489 |
| 6 | -3.408 | 0.2589 |
| 7 | -3.015 | 0.1737 |
| 8 | -3.603 | 0.1146 |
| 9 | -3.347 | 0.1815 |
| 10 | -5.483 | -0.1351 |
| 11 | -5.576 | -0.2285 |
| 12 | -6.373 | -0.6883 |